No. 1
The following is a GGA-PBE calculation of Li2Pd4Pb2Au after structural relaxation, from Alexandria via LeMat-Bulk.

Cell lengths 6.0435, 6.0435, 6.0435 Å; angles 100.31, 114.24, 114.24 degrees
Positions (direct):
1 Pd 0.0000 0.2838 0.7162
2 Pd 0.5676 0.2838 0.2838
3 Pd 0.4324 0.7162 0.7162
4 Pd 0.0000 0.7162 0.2838
5 Li 0.0000 0.6991 0.6991
6 Li 0.0000 0.3009 0.3009
7 Au 0.0000 0.0000 0.0000
8 Pb 0.5000 0.7500 0.2500
9 Pb 0.5000 0.2500 0.7500

Values from the calculation:
- energy of formation (eV/atom) = -0.205
- magnetization (μB per formula unit) = 0.000

***

No. 2
The following is a GGA-PBE calculation of Er5In2Ir after structural relaxation, from Alexandria via LeMat-Bulk.

Cell lengths 4.8281, 6.9768, 12.4254 Å; angles 90.00, 90.00, 90.00 degrees
Positions (direct):
1 Ir 0.0000 0.5000 0.0000
2 Ir 0.0000 0.0000 0.5000
3 In 0.5000 0.6009 0.6613
4 In 0.5000 0.8991 0.1613
5 In 0.5000 0.1009 0.8387
6 In 0.5000 0.3991 0.3387
7 Er 0.0000 0.6240 0.2108
8 Er 0.0000 0.8760 0.7108
9 Er 0.5000 0.6750 0.9170
10 Er 0.0000 0.0000 0.0000
11 Er 0.0000 0.1240 0.2892
12 Er 0.5000 0.1750 0.5830
13 Er 0.5000 0.3250 0.0830
14 Er 0.0000 0.5000 0.5000
15 Er 0.0000 0.3760 0.7892
16 Er 0.5000 0.8250 0.4170

Values from the calculation:
- energy of formation (eV/atom) = -0.526
- magnetization (μB per formula unit) = 0.000

***

No. 3
The following is a GGA-PBE calculation of LaGaIO2 after structural relaxation, from Alexandria via LeMat-Bulk.

Cell lengths 4.2720, 4.2720, 5.2487 Å; angles 90.00, 90.00, 90.00 degrees
Positions (direct):
1 O 0.0000 0.5000 0.0000
2 O 0.5000 0.0000 0.0000
3 I 0.0000 0.0000 0.5000
4 Ga 0.0000 0.0000 0.0000
5 La 0.5000 0.5000 0.5000

Values from the calculation:
- energy relative to the elements, uncorrected (eV per atom) = -0.983
- magnetization (μB per formula unit) = 0.000

***

No. 4
The following is a GGA-PBE calculation of VCrRe2 after structural relaxation, from Alexandria via LeMat-Bulk.

Cell lengths 6.8291, 6.8291, 5.4704 Å; angles 51.38, 51.38, 90.00 degrees
Positions (direct):
1 Cr 0.7500 0.2500 0.5000
2 Cr 0.0000 0.0000 0.0000
3 Re 0.6402 0.1250 0.2500
4 Re 0.1098 0.6250 0.2500
5 Re 0.8750 0.8902 0.7500
6 Re 0.3750 0.3598 0.7500
7 V 0.2500 0.7500 0.5000
8 V 0.5000 0.5000 0.0000

Values from the calculation:
- energy of formation (eV/atom) = 0.727
- magnetization (μB per formula unit) = 0.001

***

No. 5
The following is a GGA-PBE calculation of KYRe4 after structural relaxation, from Alexandria via LeMat-Bulk.

Cell lengths 5.4588, 5.4588, 5.4588 Å; angles 60.00, 60.00, 60.00 degrees
Positions (direct):
1 Re 0.8752 0.3750 0.3750
2 Re 0.3750 0.3750 0.8752
3 Re 0.3750 0.8752 0.3750
4 Re 0.3750 0.3750 0.3750
5 K 0.0000 0.0000 0.0000
6 Y 0.7500 0.7500 0.7500

Values from the calculation:
- energy of formation (eV/atom) = 0.611
- magnetization (μB per formula unit) = 0.000

***

No. 6
The following is a GGA-PBE calculation of Ta3SnMo after structural relaxation, from Alexandria via LeMat-Bulk.

Cell lengths 4.8518, 4.8518, 4.8518 Å; angles 90.00, 90.00, 90.00 degrees
Positions (direct):
1 Ta 0.0000 0.0000 0.5000
2 Ta 0.0000 0.5000 0.0000
3 Ta 0.5000 0.0000 0.0000
4 Mo 0.0000 0.0000 0.0000
5 Sn 0.5000 0.5000 0.5000

Values from the calculation:
- energy of formation (eV/atom) = 1.204
- magnetization (μB per formula unit) = 0.000

***

No. 7
The following is a GGA-PBE calculation of KCd2Te after structural relaxation, from Alexandria via LeMat-Bulk.

Cell lengths 4.6476, 4.6476, 7.9398 Å; angles 73.10, 73.10, 59.82 degrees
Positions (direct):
1 Cd 0.9990 0.9990 0.0024
2 Cd 0.7276 0.7276 0.8177
3 K 0.5031 0.5031 0.4915
4 Te 0.2704 0.2704 0.1884

Values from the calculation:
- energy relative to the elements, uncorrected (eV per atom) = -0.325
- magnetization (μB per formula unit) = 0.000

***

No. 8
The following is a GGA-PBE calculation of NdS5Cl after structural relaxation, from Alexandria via LeMat-Bulk.

Cell lengths 5.2720, 5.3028, 7.2572 Å; angles 108.63, 108.49, 97.25 degrees
Each line ends with the local moment (μB).
Positions (direct):
1 Nd 0.8054 0.3054 0.6109  0.00
2 S 0.3951 0.5633 0.7446  0.22
3 S 0.3496 0.1813 0.7446  0.22
4 S 0.0409 0.5409 0.0819  0.01
5 S 0.9696 0.2258 0.2086  0.05
6 S 0.2390 0.9828 0.2086  0.05
7 Cl 0.7311 0.7311 0.4623  0.02

Values from the calculation:
- energy relative to the elements, uncorrected (eV per atom) = -0.645
- magnetization (μB per formula unit) = 0.884